Entry P
Entry from the Alexandria database: crystalline Th4Au2C at its relaxed geometry (PBE).

As for the crystal system: orthorhombic. As for the total moment: 0.00 μB per formula unit.

Cell lengths 3.8051, 7.6106, 12.9816 Å; angles 90.00, 90.00, 90.00 degrees
Last column: nearest neighbours and their distance in Å.
Atoms (fractional coordinates):
Th1 0.0000 0.6082 0.8154  1 C 2.53
Th2 0.0000 0.3918 0.1846  1 C 2.53
Th3 0.0000 0.1082 0.6846  1 C 2.53
Th4 0.0000 0.8918 0.3154  1 C 2.53
Th5 0.5000 0.7815 0.5461  2 C 2.60
Th6 0.5000 0.2185 0.4539  2 C 2.60
Th7 0.5000 0.7185 0.0461  2 C 2.60
Th8 0.5000 0.2815 0.9539  2 C 2.60
Au1 0.5000 0.9244 0.8358  6 Th 3.07-3.15
Au2 0.5000 0.0756 0.1642  6 Th 3.07-3.15
Au3 0.5000 0.4244 0.6642  6 Th 3.07-3.15
Au4 0.5000 0.5756 0.3358  6 Th 3.07-3.15
C1 0.0000 0.0000 0.5000  6 Th 2.53-2.60
C2 0.0000 0.5000 0.0000  6 Th 2.53-2.60


Entry Q
Entry from the Alexandria database: crystalline Th4Au2C at its relaxed geometry (PBE).

As for the crystal system: tetragonal. As for the total moment: 0.00 μB per formula unit.

Cell lengths 5.0660, 5.0660, 8.2036 Å; angles 107.98, 107.98, 90.00 degrees
Last column: nearest neighbours and their distance in Å.
Atoms (fractional coordinates):
C1 0.0000 0.0000 0.0000  6 Th 2.53-2.55
Au1 0.6306 0.6306 0.2612  5 Th 2.90-3.18
Au2 0.3694 0.3694 0.7388  5 Th 2.90-3.18
Th1 0.8271 0.8271 0.6543  1 C 2.55
Th2 0.1729 0.1729 0.3457  1 C 2.55
Th3 0.0000 0.5000 0.0000  2 C 2.53
Th4 0.5000 0.0000 0.0000  2 C 2.53


Stability verdict: entry P, ahead by 35 meV/atom


Entry P
Entry from the Alexandria database: crystalline Tl2AuC at its relaxed geometry (PBE).

As for the crystal system: cubic. As for the total moment: 0.00 μB per formula unit.

Cell lengths 4.8937, 4.8937, 4.8937 Å; angles 60.00, 60.00, 60.00 degrees
Last column: nearest neighbours and their distance in Å.
Atoms (fractional coordinates):
Tl1 0.2500 0.2500 0.2500  4 C 3.00, 4 Au 3.00
Tl2 0.7500 0.7500 0.7500  4 Au 3.00, 4 C 3.00
Au1 0.5000 0.5000 0.5000  8 Tl 3.00
C1 0.0000 0.0000 0.0000  8 Tl 3.00


Entry Q
Entry from the Alexandria database: crystalline Tl2AuC at its relaxed geometry (PBE).

As for the crystal system: tetragonal. As for the total moment: 0.00 μB per formula unit.

Cell lengths 6.2272, 6.2272, 6.7633 Å; angles 62.59, 62.59, 90.00 degrees
Last column: nearest neighbours and their distance in Å.
Atoms (fractional coordinates):
Tl1 0.5440 0.1250 0.2500  2 C 2.28
Tl2 0.2060 0.6250 0.2500  2 C 2.28
Tl3 0.3750 0.4560 0.7500  2 C 2.28
Tl4 0.8750 0.7940 0.7500  2 C 2.28
Au1 0.0000 0.0000 0.0000  4 Tl 2.88
Au2 0.7500 0.2500 0.5000  4 Tl 2.88
C1 0.5000 0.5000 0.0000  4 Tl 2.28
C2 0.2500 0.7500 0.5000  4 Tl 2.28


Stability verdict: entry Q, ahead by 348 meV/atom


Entry P
Entry from the Alexandria database: crystalline VAuC2 at its relaxed geometry (PBE).

As for the crystal system: cubic. As for the total moment: 0.00 μB per formula unit.

Cell lengths 3.9015, 3.9015, 3.9015 Å; angles 60.00, 60.00, 60.00 degrees
Last column: nearest neighbours and their distance in Å.
Atoms (fractional coordinates):
C1 0.2500 0.2500 0.2500  4 Au 2.39, 4 V 2.39
C2 0.7500 0.7500 0.7500  4 Au 2.39, 4 V 2.39
Au1 0.5000 0.5000 0.5000  8 C 2.39
V1 0.0000 0.0000 0.0000  8 C 2.39


Entry Q
Entry from the Alexandria database: crystalline VAuC2 at its relaxed geometry (PBE).

As for the crystal system: tetragonal. As for the total moment: 0.00 μB per formula unit.

Cell lengths 4.7720, 4.7720, 5.7152 Å; angles 65.32, 65.32, 90.00 degrees
Last column: nearest neighbours and their distance in Å.
Atoms (fractional coordinates):
C1 0.5858 0.1250 0.2500  2 V 1.94, 2 Au 2.16
C2 0.1642 0.6250 0.2500  2 V 1.94, 2 Au 2.16
C3 0.3750 0.4142 0.7500  2 V 1.94, 2 Au 2.16
C4 0.8750 0.8358 0.7500  2 V 1.94, 2 Au 2.16
Au1 0.0000 0.0000 0.0000  4 C 2.16
Au2 0.7500 0.2500 0.5000  4 C 2.16
V1 0.5000 0.5000 0.0000  4 C 1.94
V2 0.2500 0.7500 0.5000  4 C 1.94


Stability verdict: entry Q, ahead by 684 meV/atom


Entry P
Entry from the Alexandria database: crystalline WAuC2 at its relaxed geometry (PBE).

As for the crystal system: tetragonal. As for the total moment: 0.00 μB per formula unit.

Cell lengths 4.9154, 4.9154, 5.8688 Å; angles 65.24, 65.24, 90.00 degrees
Last column: nearest neighbours and their distance in Å.
Atoms (fractional coordinates):
C1 0.5833 0.1250 0.2500  2 W 1.99
C2 0.1667 0.6250 0.2500  2 W 1.99
C3 0.3750 0.4167 0.7500  2 W 1.99
C4 0.8750 0.8333 0.7500  2 W 1.99
Au1 0.0000 0.0000 0.0000  4 C 2.23
Au2 0.7500 0.2500 0.5000  4 C 2.23
W1 0.5000 0.5000 0.0000  4 C 1.99
W2 0.2500 0.7500 0.5000  4 C 1.99


Entry Q
Entry from the Alexandria database: crystalline WAuC2 at its relaxed geometry (PBE).

As for the crystal system: cubic. As for the total moment: 0.00 μB per formula unit.

Cell lengths 3.9793, 3.9793, 3.9793 Å; angles 60.00, 60.00, 60.00 degrees
Last column: nearest neighbours and their distance in Å.
Atoms (fractional coordinates):
C1 0.2500 0.2500 0.2500  4 W 2.44, 4 Au 2.44
C2 0.7500 0.7500 0.7500  4 W 2.44, 4 Au 2.44
Au1 0.5000 0.5000 0.5000  8 C 2.44
W1 0.0000 0.0000 0.0000  8 C 2.44


Stability verdict: entry P, ahead by 917 meV/atom


Entry P
Entry from the Alexandria database: crystalline WAu3C at its relaxed geometry (PBE).

As for the crystal system: cubic. As for the total moment: 1.66 μB per formula unit.

Cell lengths 5.0781, 5.0781, 5.0781 Å; angles 90.00, 90.00, 90.00 degrees
Last column: nearest neighbours and their distance in Å.
Atoms (fractional coordinates):
C1 0.5000 0.5000 0.5000  12 Au 3.59
Au1 0.0000 0.5000 0.0000  2 W 2.54
Au2 0.0000 0.0000 0.5000  2 W 2.54
Au3 0.5000 0.0000 0.0000  2 W 2.54
W1 0.0000 0.0000 0.0000  6 Au 2.54


Entry Q
Entry from the Alexandria database: crystalline WAu3C at its relaxed geometry (PBE).

As for the crystal system: cubic. As for the total moment: 0.00 μB per formula unit.

Cell lengths 4.3088, 4.3088, 4.3088 Å; angles 90.00, 90.00, 90.00 degrees
Last column: nearest neighbours and their distance in Å.
Atoms (fractional coordinates):
C1 0.0000 0.0000 0.0000  6 Au 2.15
Au1 0.0000 0.5000 0.0000  2 C 2.15
Au2 0.0000 0.0000 0.5000  2 C 2.15
Au3 0.5000 0.0000 0.0000  2 C 2.15
W1 0.5000 0.5000 0.5000  12 Au 3.05


Stability verdict: entry Q, ahead by 1170 meV/atom


Entry P
Entry from the Alexandria database: crystalline YAuC3 at its relaxed geometry (PBE).

As for the crystal system: cubic. As for the total moment: 0.00 μB per formula unit.

Cell lengths 4.1621, 4.1621, 4.1621 Å; angles 90.00, 90.00, 90.00 degrees
Last column: nearest neighbours and their distance in Å.
Atoms (fractional coordinates):
Y1 0.5000 0.5000 0.5000  12 C 2.94
C1 0.0000 0.5000 0.0000  2 Au 2.08
C2 0.0000 0.0000 0.5000  2 Au 2.08
C3 0.5000 0.0000 0.0000  2 Au 2.08
Au1 0.0000 0.0000 0.0000  6 C 2.08


Entry Q
Entry from the Alexandria database: crystalline YAuC3 at its relaxed geometry (PBE).

As for the crystal system: cubic. As for the total moment: 0.00 μB per formula unit.

Cell lengths 4.5046, 4.5046, 4.5046 Å; angles 90.00, 90.00, 90.00 degrees
Last column: nearest neighbours and their distance in Å.
Atoms (fractional coordinates):
Y1 0.0000 0.0000 0.0000  6 C 2.25
C1 0.0000 0.5000 0.0000  2 Y 2.25
C2 0.0000 0.0000 0.5000  2 Y 2.25
C3 0.5000 0.0000 0.0000  2 Y 2.25
Au1 0.5000 0.5000 0.5000  12 C 3.19


Stability verdict: entry P, ahead by 787 meV/atom